DFT (GGA+U) results for an optimized crystal structure of FeMoN2O.

## Properties
electronic total energy = -6.02 eV/atom
space-group type = P4/mmm
total moment = 3.50 μB/f.u.

Geometry as POSCAR:
```
FeMoN2O
1.0
3.846 0.000 0.000
0.000 3.846 0.000
0.000 0.000 3.629
Fe Mo N O
1 1 2 1
Direct
0.000 0.000 0.000
0.500 0.500 0.500
0.000 0.500 0.000
0.500 0.000 0.000
0.000 0.000 0.500
```